[1]
Material: LiPtI2
Method: DFT, PBEsol
State: relaxed

## Properties
Energy relative to the elements, uncorrected, eV/atom: 0.121
Crystal system: cubic

Lattice parameters (Å, degrees): 7.1474 7.1474 7.1474 90.00 90.00 90.00
With the nearest neighbours (Å) after each atom.
Space group Fm-3m (No. 225)
Unique sites:
Li1 0.0000 0.0000 0.0000 x4  8 I 3.09
Pt1 0.0000 0.0000 0.5000 x4  8 I 3.09
I1 0.2500 0.2500 0.2500 x8  4 Li 3.09, 4 Pt 3.09

***

[2]
Material: Ca2SbCl
Method: DFT, PBEsol
State: relaxed

## Properties
Energy relative to the elements, uncorrected, eV/atom: -1.481
Crystal system: orthorhombic

Lattice parameters (Å, degrees): 4.4146 5.9428 4.3891 90.00 90.00 90.00
With the nearest neighbours (Å) after each atom.
Space group Pmm2 (No. 25)
Unique sites:
Ca1 0.0000 0.0000 0.0000 x1  2 Cl 2.88, 2 Sb 2.99
Ca2 0.5000 0.5000 0.4306 x1  2 Cl 2.97, 4 Sb 3.09-3.13
Sb1 0.0000 0.5000 0.9249 x1  6 Ca 2.99-3.13
Cl1 0.5000 0.0000 0.4206 x1  4 Ca 2.88-2.97

***

[3]
Material: Mn2PtPb
Method: DFT, PBEsol
State: relaxed

## Properties
Crystal system: tetragonal
Total DFT energy (no corrections), Ry/atom: -0.5412

Lattice parameters (Å, degrees): 3.9158 3.9158 8.5105 90.00 90.00 90.00
With the nearest neighbours (Å) after each atom.
Space group I-4m2 (No. 119)
Unique sites:
Mn1 0.0000 0.0000 0.0000 x2  4 Pb 2.77, 4 Mn 2.89, 4 Pt 2.89
Mn2 0.0000 0.5000 0.2500 x2  4 Pt 2.77, 4 Mn 2.89, 4 Pb 2.89
Pt1 0.0000 0.5000 0.7500 x2  8 Mn 2.77-2.89, 4 Pb 2.89
Pb1 0.0000 0.0000 0.5000 x2  8 Mn 2.77-2.89, 4 Pt 2.89

***

[4]
Material: Dy2FeCo3
Method: DFT, PBEsol
State: relaxed

## Properties
Crystal system: trigonal
Total DFT energy (no corrections), Ry/atom: -0.5305

Lattice parameters (Å, degrees): 5.0900 5.0900 11.7221 90.00 90.00 120.00
With the nearest neighbours (Å) after each atom.
Space group R-3m (No. 166, hexagonal axes)
Unique sites:
Dy1 0.0000 0.0000 0.1268 x6  9 Co 2.83-2.95, 4 Dy 2.97-3.08, 3 Fe 2.98
Fe1 0.0000 0.0000 0.5000 x3  6 Co 2.44
Co1 0.0000 0.5000 0.0000 x9  2 Fe 2.44, 4 Co 2.54

***

[5]
Material: Mn2FeCu
Method: DFT, PBEsol
State: relaxed

## Properties
Crystal system: orthorhombic
Energy relative to the lowest polymorph listed for this composition, kcal/mol of atoms: 0.00

Lattice parameters (Å, degrees): 2.4556 3.5316 4.9225 90.00 90.00 90.00
With the nearest neighbours (Å) after each atom.
Space group Pmmm (No. 47)
Unique sites:
Mn1 0.0000 0.0000 0.2402 x2  4 Mn 2.36-2.56, 4 Fe 2.45, 4 Cu 2.50
Fe1 0.5000 0.5000 0.0000 x1  8 Mn 2.45, 2 Fe 2.46, 2 Cu 2.46
Cu1 0.5000 0.5000 0.5000 x1  2 Cu 2.46, 2 Fe 2.46, 8 Mn 2.50

***

[6]
Material: Ba2YSi
Method: DFT, PBEsol
State: relaxed

## Properties
Energy relative to the elements, uncorrected, eV/atom: 0.156
Crystal system: orthorhombic

Lattice parameters (Å, degrees): 6.5524 10.5234 3.7471 90.00 90.00 90.00
With the nearest neighbours (Å) after each atom.
Space group Cmmm (No. 65)
Unique sites:
Ba1 0.2500 0.2500 0.0000 x4  2 Ba 3.28, 4 Y 3.62, 4 Si 3.62
Y1 0.0000 0.0000 0.5000 x2  2 Si 3.28, 8 Ba 3.62
Si1 0.0000 0.5000 0.5000 x2  2 Y 3.28, 8 Ba 3.62

***

[7]
Material: ScTc2
Method: DFT, PBEsol
State: relaxed

## Properties
Crystal system: tetragonal
Energy relative to the lowest polymorph listed for this composition, kcal/mol of atoms: 13.86

Lattice parameters (Å, degrees): 3.4730 3.4730 4.6224 90.00 90.00 90.00
With the nearest neighbours (Å) after each atom.
Space group P4/mmm (No. 123)
Unique sites:
Sc1 0.0000 0.0000 0.0000 x1  8 Tc 2.89
Tc1 0.0000 0.5000 0.5000 x2  4 Tc 2.46

***

[8]
Material: KMg2As
Method: DFT, PBEsol
State: relaxed

## Properties
Crystal system: tetragonal
Total DFT energy (no corrections), Ry/atom: -0.1792

Lattice parameters (Å, degrees): 3.5645 3.5645 8.7481 90.00 90.00 90.00
With the nearest neighbours (Å) after each atom.
Space group P4/mmm (No. 123)
Unique sites:
K1 0.0000 0.0000 0.0000 x1  4 K 3.56, 8 Mg 3.86
Mg1 0.5000 0.5000 0.3346 x2  1 Mg 2.89, 4 As 2.91
As1 0.0000 0.0000 0.5000 x1  8 Mg 2.91

***

no.,spin magnetization (μB per formula unit),calculated volume (Å³/f.u.)
1,0.00,91
2,0.00,115
3,7.34,65
4,4.30,88
5,1.78,43
6,0.00,129
7,0.00,56
8,0.00,111